# 1
Entry from the Alexandria database: an optimized crystal structure of Pr9SmIn2 (PBE).

The space group is P4/mmm (No. 123) and the conventional cell measures 5.0548, 5.0548 and 15.5225 Å, with angles of 90.00, 90.00 and 90.00 degrees. Symmetry generates all atoms from Pr at (0.0000, 0.0000, 0.0000), Pr at (0.0000, 0.0000, 0.3385), Pr at (0.0000, 0.5000, 0.1744), Pr at (0.0000, 0.5000, 0.5000), Sm at (0.5000, 0.5000, 0.0000) and In at (0.5000, 0.5000, 0.3384).

As for the calculated formation energy: -0.173 eV/atom.

---

# 2
Entry from the Alexandria database: an optimized crystal structure of Rb2Mg2ScSe4 (PBE).

The space group is C2/m (No. 12) and the conventional cell measures 15.7518, 4.2059 and 8.1399 Å, with angles of 90.00, 106.92 and 90.00 degrees. Symmetry generates all atoms from Rb at (0.1255, 0.0000, 0.0412), Mg at (0.1685, 0.5000, 0.4807), Sc at (0.0000, 0.0000, 0.5000), Se at (0.0137, 0.5000, 0.2748) and Se at (0.2024, 0.0000, 0.6748).

The calculation puts the raw formation energy at -11.34 eV/f.u.

---

# 3
Entry from the Alexandria database: an optimized crystal structure of YCuF6 (PBE).

The space group is C2/m (No. 12) and the conventional cell measures 7.3269, 6.0332 and 5.2226 Å, with angles of 90.00, 113.77 and 90.00 degrees. Symmetry generates all atoms from Y at (0.0000, 0.0000, 0.0000), Cu at (0.0000, 0.5000, 0.5000), F at (0.0834, 0.2832, 0.7956) and F at (0.2276, 0.0000, 0.4459).

The calculation puts the raw formation energy at -21.08 eV/f.u.